(1)
Below is KMnAg2F8 after structural relaxation, with properties calculated at the PBE+U level.

a = 4.814 Å, b = 5.314 Å, c = 7.363 Å
α = 93.04°, β = 91.40°, γ = 93.75°
Sites, in units of the cell vectors:
1 K 0.000 0.000 0.000
2 Mn 0.000 0.000 0.500
3 Ag 0.460 0.491 0.752
4 Ag 0.540 0.509 0.248
5 F 0.140 0.800 0.316
6 F 0.163 0.814 0.676
7 F 0.312 0.235 0.503
8 F 0.474 0.264 0.002
9 F 0.526 0.736 0.998
10 F 0.688 0.765 0.497
11 F 0.837 0.186 0.324
12 F 0.860 0.200 0.684

(2)
Below is KAg2MoF6 after structural relaxation, with properties calculated at the PBE+U level.

a = 6.170 Å, b = 6.324 Å, c = 10.626 Å
α = 90.00°, β = 124.64°, γ = 90.00°
Sites, in units of the cell vectors:
1 K 0.000 0.000 0.000
2 K 0.000 0.500 0.500
3 Ag 0.227 0.038 0.733
4 Ag 0.227 0.462 0.233
5 Ag 0.773 0.538 0.767
6 Ag 0.773 0.962 0.267
7 Mo 0.500 0.000 0.500
8 Mo 0.500 0.500 0.000
9 F 0.167 0.151 0.465
10 F 0.167 0.349 0.965
11 F 0.255 0.731 0.400
12 F 0.255 0.769 0.900
13 F 0.405 0.109 0.286
14 F 0.405 0.391 0.786
15 F 0.595 0.609 0.214
16 F 0.595 0.891 0.714
17 F 0.745 0.231 0.100
18 F 0.745 0.269 0.600
19 F 0.833 0.651 0.035
20 F 0.833 0.849 0.535

(3)
Below is K2AgMoF8 after structural relaxation, with properties calculated at the PBE+U level.

a = 5.057 Å, b = 8.351 Å, c = 5.712 Å
α = 90.00°, β = 93.86°, γ = 90.00°
Sites, in units of the cell vectors:
1 K 0.000 0.233 0.000
2 K 0.000 0.767 0.000
3 Ag 0.500 0.000 0.500
4 Mo 0.500 0.500 0.500
5 F 0.229 0.000 0.212
6 F 0.235 0.500 0.234
7 F 0.315 0.332 0.651
8 F 0.315 0.668 0.651
9 F 0.685 0.332 0.349
10 F 0.685 0.668 0.349
11 F 0.765 0.500 0.766
12 F 0.771 0.000 0.788

| no. | raw total energy (eV per formula unit) | calculated density (g/cm³) |
| --- | --- | --- |
| 1 | -51.5 | 4.09 |
| 2 | -45.3 | 4.52 |
| 3 | -55.3 | 2.99 |